Entry 1:
# Ga2PtAu7

A relaxed Ga2PtAu7 crystal (PBE-GGA, the Alexandria database).

E_form, meV/atom: 5
N(E_F), states/eV per cell: 14.0
Total magnetization, μB per formula unit: 0.00
Calculated volume, Å³/atom: 19.64

The structure in CIF format:
```
data_Ga2PtAu7
_chemical_formula_sum 'Ga4 Pt2 Au14'
_symmetry_space_group_name_H-M 'C m m m'
_symmetry_Int_Tables_number 65
_symmetry_space_group_name_Hall '-C 2 2'
_cell_length_a 8.889
_cell_length_b 15.595
_cell_length_c 2.834
_cell_angle_alpha 90.00
_cell_angle_beta 90.00
_cell_angle_gamma 90.00
loop_
_atom_site_label
_atom_site_fract_x
_atom_site_fract_y
_atom_site_fract_z
_atom_site_occupancy
Ga1 0.000 0.172 0.000 1
Pt1 0.000 0.500 0.500 1
Au1 0.000 0.000 0.000 1
Au2 0.000 0.312 0.500 1
Au3 0.236 0.404 0.000 1
```


Entry 2:
# UCdIrPd

A relaxed UCdIrPd crystal (PBE-GGA, the Alexandria database).

E_form, meV/atom: -267
N(E_F), states/eV per cell: 23.3
Total magnetization, μB per formula unit: 1.75
Calculated volume, Å³/atom: 19.16

The structure in CIF format:
```
data_UCdIrPd
_chemical_formula_sum 'U4 Cd4 Ir4 Pd4'
_symmetry_space_group_name_H-M 'F -4 3 m'
_symmetry_Int_Tables_number 216
_symmetry_space_group_name_Hall 'F -4 2 3'
_cell_length_a 6.743
_cell_length_b 6.743
_cell_length_c 6.743
_cell_angle_alpha 90.00
_cell_angle_beta 90.00
_cell_angle_gamma 90.00
loop_
_atom_site_label
_atom_site_fract_x
_atom_site_fract_y
_atom_site_fract_z
_atom_site_occupancy
U1 0.000 0.000 0.000 1
Cd1 0.000 0.000 0.500 1
Ir1 0.250 0.250 0.750 1
Pd1 0.250 0.250 0.250 1
```


Entry 3:
# TbPmEu2

A relaxed TbPmEu2 crystal (PBE-GGA, the Alexandria database).

E_form, meV/atom: 151
N(E_F), states/eV per cell: 19.5
Energy relative to the lowest polymorph listed for this composition, kJ/mol of atoms: 4.3
Total magnetization, μB per formula unit: 14.54
Calculated volume, Å³/atom: 36.31

The structure in CIF format:
```
data_TbPmEu2
_chemical_formula_sum 'Tb4 Pm4 Eu8'
_symmetry_space_group_name_H-M 'F m -3 m'
_symmetry_Int_Tables_number 225
_symmetry_space_group_name_Hall '-F 4 2 3'
_cell_length_a 8.344
_cell_length_b 8.344
_cell_length_c 8.344
_cell_angle_alpha 90.00
_cell_angle_beta 90.00
_cell_angle_gamma 90.00
loop_
_atom_site_label
_atom_site_fract_x
_atom_site_fract_y
_atom_site_fract_z
_atom_site_occupancy
Tb1 0.000 0.000 0.000 1
Pm1 0.000 0.000 0.500 1
Eu1 0.250 0.250 0.250 1
```


Entry 4:
# TaNb3Tc2

A relaxed TaNb3Tc2 crystal (PBE-GGA, the Alexandria database).

E_form, meV/atom: -263
N(E_F), states/eV per cell: 2.9
Total magnetization, μB per formula unit: 0.00
Calculated volume, Å³/atom: 16.93

The structure in CIF format:
```
data_TaNb3Tc2
_chemical_formula_sum 'Ta1 Nb3 Tc2'
_symmetry_space_group_name_H-M 'P 4/m m m'
_symmetry_Int_Tables_number 123
_symmetry_space_group_name_Hall '-P 4 2'
_cell_length_a 3.217
_cell_length_b 3.217
_cell_length_c 9.813
_cell_angle_alpha 90.00
_cell_angle_beta 90.00
_cell_angle_gamma 90.00
loop_
_atom_site_label
_atom_site_fract_x
_atom_site_fract_y
_atom_site_fract_z
_atom_site_occupancy
Ta1 0.000 0.000 0.000 1
Nb1 0.500 0.500 0.176 1
Nb2 0.500 0.500 0.500 1
Tc1 0.000 0.000 0.338 1
```


Entry 5:
# Sc2SbTe2

A relaxed Sc2SbTe2 crystal (PBE-GGA, the Alexandria database).

N(E_F), states/eV per cell: 9.1
E_form (uncorrected), meV/atom: -600
Energy relative to the lowest polymorph listed for this composition, kJ/mol of atoms: 33.1
Total magnetization, μB per formula unit: 0.00
Calculated volume, Å³/atom: 25.71

The structure in CIF format:
```
data_Sc2SbTe2
_chemical_formula_sum 'Sc4 Sb2 Te4'
_symmetry_space_group_name_H-M 'P 4/m b m'
_symmetry_Int_Tables_number 127
_symmetry_space_group_name_Hall '-P 4 2ab'
_cell_length_a 8.432
_cell_length_b 8.432
_cell_length_c 3.616
_cell_angle_alpha 90.00
_cell_angle_beta 90.00
_cell_angle_gamma 90.00
loop_
_atom_site_label
_atom_site_fract_x
_atom_site_fract_y
_atom_site_fract_z
_atom_site_occupancy
Sc1 0.155 0.345 0.000 1
Sb1 0.000 0.000 0.500 1
Te1 0.140 0.640 0.500 1
```


Entry 6:
# LaPmYS3

A relaxed LaPmYS3 crystal (PBE-GGA, the Alexandria database).

N(E_F), states/eV per cell: 7.7
E_form (uncorrected), meV/atom: -2012
Total magnetization, μB per formula unit: 0.00
Calculated volume, Å³/atom: 23.60

The structure in CIF format:
```
data_LaPmYS3
_chemical_formula_sum 'La2 Pm2 Y2 S6'
_symmetry_space_group_name_H-M 'P 1 21/m 1'
_symmetry_Int_Tables_number 11
_symmetry_space_group_name_Hall '-P 2yb'
_cell_length_a 6.952
_cell_length_b 3.968
_cell_length_c 10.518
_cell_angle_alpha 90.00
_cell_angle_beta 102.58
_cell_angle_gamma 90.00
loop_
_atom_site_label
_atom_site_fract_x
_atom_site_fract_y
_atom_site_fract_z
_atom_site_occupancy
La1 0.154 0.250 0.192 1
Pm1 0.266 0.750 0.555 1
Y1 0.374 0.250 0.869 1
S1 0.050 0.250 0.667 1
S2 0.231 0.750 0.000 1
S3 0.446 0.750 0.339 1
```


Entry 7:
# Li3U3CoN8

A relaxed Li3U3CoN8 crystal (PBE-GGA, the Alexandria database).

N(E_F), states/eV per cell: 4.8
E_form (uncorrected), meV/atom: -731
Total magnetization, μB per formula unit: 0.00
Calculated volume, Å³/atom: 12.71

The structure in CIF format:
```
data_Li3U3CoN8
_chemical_formula_sum 'Li9 U9 Co3 N24'
_symmetry_space_group_name_H-M 'R -3 m'
_symmetry_Int_Tables_number 166
_symmetry_space_group_name_Hall '-R 3 2"'
_cell_length_a 6.6808
_cell_length_b 6.6808
_cell_length_c 14.7991
_cell_angle_alpha 90.00
_cell_angle_beta 90.00
_cell_angle_gamma 120.00
loop_
_atom_site_label
_atom_site_fract_x
_atom_site_fract_y
_atom_site_fract_z
_atom_site_occupancy
Li1 0.0000 0.5000 0.0000 1
U1 0.0000 0.5000 0.5000 1
Co1 0.0000 0.0000 0.5000 1
N1 0.0000 0.0000 0.2390 1
N2 0.0063 0.5032 0.2332 1
```


Entry 8:
# LiFeSe2

A relaxed LiFeSe2 crystal (PBE-GGA, the Alexandria database).

N(E_F), states/eV per cell: 1.9
E_form (uncorrected), meV/atom: -427
Total magnetization, μB per formula unit: 2.92
Calculated volume, Å³/atom: 19.65

The structure in CIF format:
```
data_LiFeSe2
_chemical_formula_sum 'Li2 Fe2 Se4'
_symmetry_space_group_name_H-M 'C 1 m 1'
_symmetry_Int_Tables_number 8
_symmetry_space_group_name_Hall 'C -2y'
_cell_length_a 12.810
_cell_length_b 3.190
_cell_length_c 3.871
_cell_angle_alpha 90.00
_cell_angle_beta 96.53
_cell_angle_gamma 90.00
loop_
_atom_site_label
_atom_site_fract_x
_atom_site_fract_y
_atom_site_fract_z
_atom_site_occupancy
Li1 0.000 0.000 0.000 1
Fe1 0.292 0.500 0.379 1
Se1 0.203 0.000 0.983 1
Se2 0.435 0.000 0.473 1
```